# NaGeAu3 (PBE-GGA, optimized geometry)
data_NaGeAu3
_cell_length_a 9.189
_cell_length_b 9.189
_cell_length_c 9.189
_cell_angle_alpha 90.00
_cell_angle_beta 90.00
_cell_angle_gamma 90.00
_symmetry_space_group_name_H-M 'P a -3'
_symmetry_Int_Tables_number 205
_symmetry_space_group_name_Hall '-P 2ac 2ab 3'
loop_
_atom_site_label
_atom_site_fract_x
_atom_site_fract_y
_atom_site_fract_z
Na1 0.099 0.099 0.099
Ge1 0.113 0.613 0.887
Au1 0.090 0.732 0.139
# E above lowest polymorph (meV/atom): 0.0
# VASP energy (eV/atom): -3.398
# ρ (g/cm³): 11.753
# ΔE_f (eV per atom): -0.244



# Na3GeAu4 (PBE-GGA, optimized geometry)
data_Na3GeAu4
_cell_length_a 5.640
_cell_length_b 9.023
_cell_length_c 7.923
_cell_angle_alpha 90.00
_cell_angle_beta 90.00
_cell_angle_gamma 90.00
_symmetry_space_group_name_H-M 'I m m 2'
_symmetry_Int_Tables_number 44
_symmetry_space_group_name_Hall 'I 2 -2'
loop_
_atom_site_label
_atom_site_fract_x
_atom_site_fract_y
_atom_site_fract_z
Na1 0.000 0.000 0.000
Na2 0.000 0.243 0.645
Ge1 0.000 0.500 0.144
Au1 0.000 0.253 0.271
Au2 0.247 0.000 0.376
# E above lowest polymorph (meV/atom): 0.0
# VASP energy (eV/atom): -2.949
# ρ (g/cm³): 7.656
# ΔE_f (eV per atom): -0.239